A relaxed NbW4 crystal, computed with PBE.

Results
Its density is 16.7 g/cm3. As for the energy relative to the elements: -27 kJ/mol of formula units. The calculation puts the total moment at 0.00 μB/f.u. The energy above the lowest structure with this stoichiometry is 0.00 kJ/mol of atoms.

CIF file:
```
data_NbW4
_cell_length_a 13.223
_cell_length_b 4.534
_cell_length_c 2.774
_cell_angle_alpha 90.00
_cell_angle_beta 98.12
_cell_angle_gamma 90.00
_symmetry_space_group_name_H-M 'C 1 2/m 1'
_symmetry_Int_Tables_number 12
loop_
_symmetry_equiv_pos_as_xyz
'x,y,z'
'-x,-y,-z'
'-x,y,-z'
'x,-y,z'
'x+1/2,y+1/2,z'
'-x+1/2,-y+1/2,-z'
'-x+1/2,y+1/2,-z'
'x+1/2,-y+1/2,z'
loop_
_atom_site_label
_atom_site_fract_x
_atom_site_fract_y
_atom_site_fract_z
_atom_site_occupancy
Nb1 0.000 0.000 0.000 1
W1 0.102 0.500 0.401 1
W2 0.201 0.000 0.797 1
```